Entry 1:
{"formula": "La2IrO6", "functional": "PBE", "state": "optimized geometry", "total_energy_ev_per_atom": -7.64, "total_magnetization_mub_per_cell": 6.04, "lattice_angstrom": [[5.5367, 0.0000, -0.4634], [0.0000, 6.2970, 0.0000], [0.0213, 0.0000, 7.7577]], "species": ["O", "La", "O", "La", "O", "La", "O", "O", "O", "O", "O", "O", "La", "O", "Ir", "O", "Ir", "O"], "fractional_positions": [[0.3647, 0.7718, 0.0688], [0.0320, 0.5921, 0.2512], [0.7037, 0.1500, 0.5497], [0.9680, 0.4079, 0.7488], [0.1353, 0.2718, 0.4312], [0.5320, 0.9079, 0.7512], [0.8647, 0.7282, 0.5688], [0.2037, 0.3500, 0.0497], [0.2963, 0.8500, 0.4503], [0.3700, 0.5523, 0.7632], [0.8700, 0.9477, 0.2632], [0.6300, 0.4477, 0.2368], [0.4680, 0.0921, 0.2488], [0.7963, 0.6500, 0.9503], [0.5000, 0.5000, 0.0000], [0.1300, 0.0523, 0.7368], [0.0000, 0.0000, 0.5000], [0.6353, 0.2282, 0.9312]]}


Entry 2:
{"formula": "Ta3N4O", "functional": "PBE", "state": "optimized geometry", "total_energy_ev_per_atom": -10.50, "total_magnetization_mub_per_cell": 0.00, "lattice_angstrom": [[-1.1073, 5.1363, -0.6089], [-4.3632, -3.4159, 2.0952], [4.6626, 1.6627, 5.5466]], "species": ["N", "N", "Ta", "N", "N", "Ta", "O", "N", "N", "Ta", "N", "O", "N", "Ta", "Ta", "Ta"], "fractional_positions": [[0.8783, 0.4384, 0.1429], [0.5601, 0.4384, 0.6429], [0.6646, 0.3430, 0.3730], [0.2736, 0.2171, 0.9395], [0.0406, 0.7575, 0.5287], [0.9043, 0.8513, 0.3018], [0.3261, 0.9820, 0.2448], [0.9436, 0.2171, 0.4395], [0.1155, 0.6091, 0.8421], [0.2954, 0.5812, 0.0771], [0.4936, 0.6091, 0.3421], [0.6559, 0.9820, 0.7448], [0.7169, 0.7575, 0.0287], [0.6784, 0.3430, 0.8730], [0.9469, 0.8513, 0.8018], [0.2858, 0.5812, 0.5771]]}


Entry 3:
{"formula": "Li6GePt2", "functional": "PBE", "state": "optimized geometry", "total_magnetization_mub_per_cell": 0.00, "e_form_ev_per_fu": -3.7, "lattice_angstrom": [[-1.5856, -4.0983, 0.5389], [2.7298, -3.4778, -0.2307], [1.8329, -1.9564, 8.7002]], "species": ["Pt", "Pt", "Ge", "Li", "Li", "Li", "Li", "Li", "Li"], "fractional_positions": [[0.9090, 0.9090, 0.2729], [0.0910, 0.0910, 0.7271], [0.0000, 0.0000, 0.0000], [0.1920, 0.1920, 0.4240], [0.2947, 0.2947, 0.1159], [0.7053, 0.7053, 0.8841], [0.4268, 0.4268, 0.7195], [0.8080, 0.8080, 0.5760], [0.5732, 0.5732, 0.2805]]}


Entry 4:
{"formula": "Li8AgSb2", "functional": "PBE", "state": "optimized geometry", "total_energy_ev_per_atom": -2.85, "total_magnetization_mub_per_cell": 0.00, "lattice_angstrom": [[4.6840, 0.0000, 0.0000], [0.0000, 6.4222, -0.2023], [-2.3420, -2.9973, 6.9129]], "species": ["Li", "Li", "Li", "Li", "Ag", "Li", "Li", "Sb", "Sb", "Li", "Li"], "fractional_positions": [[0.3445, 0.5783, 0.6891], [0.8272, 0.8273, 0.6545], [0.0000, 0.7344, 0.9999], [0.6555, 0.4217, 0.3109], [0.5000, 0.0000, 0.0000], [0.0000, 0.2656, 0.0001], [0.6554, 0.8889, 0.3108], [0.8236, 0.3236, 0.6472], [0.1764, 0.6764, 0.3528], [0.3446, 0.1111, 0.6892], [0.1728, 0.1727, 0.3455]]}


Entry 5:
{"formula": "CaZr2FeCl", "functional": "PBE", "state": "optimized geometry", "total_energy_ev_per_atom": -5.60, "total_magnetization_mub_per_cell": 2.62, "lattice_angstrom": [[4.7876, 0.0000, 0.0000], [0.0000, 4.9452, 0.0000], [0.0000, 0.0000, 4.7876]], "species": ["Ca", "Zr", "Zr", "Cl", "Fe"], "fractional_positions": [[0.0000, 0.5000, 0.0000], [0.5000, 0.0000, 0.0000], [0.0000, 0.0000, 0.5000], [0.0000, 0.0000, 0.0000], [0.5000, 0.5000, 0.5000]]}


Entry 6:
{"formula": "KCaRu2O", "functional": "PBE", "state": "optimized geometry", "total_energy_ev_per_atom": -4.08, "total_magnetization_mub_per_cell": 4.75, "lattice_angstrom": [[-0.7183, 5.2260, 1.3771], [-1.9255, -1.2500, 3.7395], [4.8460, 0.0079, 2.4978]], "species": ["Ru", "Ca", "Ru", "K", "O"], "fractional_positions": [[0.5000, 0.0000, 0.0000], [0.0000, 0.0000, 0.0000], [0.0000, 0.0000, 0.5000], [0.5000, 0.5000, 0.5000], [0.0000, 0.5000, 0.0000]]}